[1]
An optimized crystal structure of MgBeHS. Source: Alexandria, functional GGA-PBE.

CIF file:
```
data_MgBeHS
_chemical_formula_sum 'Mg2 Be2 H2 S2'
_symmetry_space_group_name_H-M 'P 1'
_symmetry_Int_Tables_number 1
_symmetry_space_group_name_Hall 'P 1'
_cell_length_a 4.4942
_cell_length_b 3.4041
_cell_length_c 7.1978
_cell_angle_alpha 90.00
_cell_angle_beta 94.85
_cell_angle_gamma 90.00
loop_
_atom_site_label
_atom_site_type_symbol
_atom_site_fract_x
_atom_site_fract_y
_atom_site_fract_z
H1 H 0.2272 0.5000 0.0491
S1 S 0.7617 0.0000 0.8454
H2 H 0.2272 0.0000 0.5491
Be1 Be 0.0198 0.5000 0.8837
Be2 Be 0.0198 0.0000 0.3837
Mg1 Mg 0.4346 0.5000 0.6195
S2 S 0.7617 0.5000 0.3454
Mg2 Mg 0.4346 0.0000 0.1195
```

## Properties
- ΔE to the lowest computed polymorph (eV/atom) = 0.0348
- E (eV per atom) = -3.549
- symmetry = Cm (8)
- crystal system = monoclinic
- D(E_F) (states/eV/cell) = 2.729
- size of the total moment (μB/cell) = 0.00
- mass density (kg/m³) = 2009

---

[2]
An optimized crystal structure of MgV2Ni2. Source: Alexandria, functional GGA-PBE.

CIF file:
```
data_MgV2Ni2
_chemical_formula_sum 'Mg2 V4 Ni4'
_symmetry_space_group_name_H-M 'P 1'
_symmetry_Int_Tables_number 1
_symmetry_space_group_name_Hall 'P 1'
_cell_length_a 7.2984
_cell_length_b 7.2984
_cell_length_c 2.5635
_cell_angle_alpha 90.00
_cell_angle_beta 90.00
_cell_angle_gamma 90.00
loop_
_atom_site_label
_atom_site_type_symbol
_atom_site_fract_x
_atom_site_fract_y
_atom_site_fract_z
V1 V 0.3851 0.8851 0.0000
Mg1 Mg 0.0000 0.0000 0.0000
V2 V 0.8851 0.6149 0.0000
Mg2 Mg 0.5000 0.5000 0.0000
Ni1 Ni 0.6782 0.8218 0.5000
V3 V 0.1149 0.3851 0.0000
Ni2 Ni 0.1782 0.6782 0.5000
Ni3 Ni 0.8218 0.3218 0.5000
V4 V 0.6149 0.1149 0.0000
Ni4 Ni 0.3218 0.1782 0.5000
```

## Properties
- ΔE to the lowest computed polymorph (eV/atom) = 0.0305
- E (eV per atom) = -6.267
- formation energy (eV per atom) = 0.012
- symmetry = P4/mbm (127)
- crystal system = tetragonal
- D(E_F) (states/eV/cell) = 8.857
- size of the total moment (μB/cell) = 0.00
- mass density (kg/m³) = 5924

---

[3]
An optimized crystal structure of SrMnAg2P. Source: Alexandria, functional GGA-PBE.

CIF file:
```
data_SrMnAg2P
_chemical_formula_sum 'Sr1 Mn1 Ag2 P1'
_symmetry_space_group_name_H-M 'P 1'
_symmetry_Int_Tables_number 1
_symmetry_space_group_name_Hall 'P 1'
_cell_length_a 5.5581
_cell_length_b 5.4723
_cell_length_c 5.5581
_cell_angle_alpha 90.00
_cell_angle_beta 90.00
_cell_angle_gamma 90.00
loop_
_atom_site_label
_atom_site_type_symbol
_atom_site_fract_x
_atom_site_fract_y
_atom_site_fract_z
Sr1 Sr 0.0000 0.0000 0.0000
Ag1 Ag 0.0000 0.0000 0.5000
Ag2 Ag 0.5000 0.0000 0.0000
P1 P 0.0000 0.5000 0.0000
Mn1 Mn 0.5000 0.5000 0.5000
```

## Properties
- E (eV per atom) = -3.097
- formation energy (eV per atom) = 1.296
- symmetry = P4/mmm (123)
- crystal system = tetragonal
- D(E_F) (states/eV/cell) = 4.232
- size of the total moment (μB/cell) = 4.48
- mass density (kg/m³) = 3824

---

[4]
An optimized crystal structure of TlRe3Br. Source: Alexandria, functional GGA-PBE.

CIF file:
```
data_TlRe3Br
_chemical_formula_sum 'Tl1 Re3 Br1'
_symmetry_space_group_name_H-M 'P 1'
_symmetry_Int_Tables_number 1
_symmetry_space_group_name_Hall 'P 1'
_cell_length_a 5.4151
_cell_length_b 5.4151
_cell_length_c 5.4151
_cell_angle_alpha 90.00
_cell_angle_beta 90.00
_cell_angle_gamma 90.00
loop_
_atom_site_label
_atom_site_type_symbol
_atom_site_fract_x
_atom_site_fract_y
_atom_site_fract_z
Re1 Re 0.0000 0.5000 0.0000
Re2 Re 0.0000 0.0000 0.5000
Br1 Br 0.5000 0.5000 0.5000
Re3 Re 0.5000 0.0000 0.0000
Tl1 Tl 0.0000 0.0000 0.0000
```

## Properties
- ΔE to the lowest computed polymorph (eV/atom) = 1.0081
- E (eV per atom) = -4.877
- symmetry = Pm-3m (221)
- crystal system = cubic
- D(E_F) (states/eV/cell) = 4.534
- size of the total moment (μB/cell) = 13.07
- mass density (kg/m³) = 8815
- raw formation energy (kJ/mol of atoms) = 327.98

---

[5]
An optimized crystal structure of DyEr2S4. Source: Alexandria, functional GGA-PBE.

CIF file:
```
data_DyEr2S4
_chemical_formula_sum 'Dy2 Er4 S8'
_symmetry_space_group_name_H-M 'P 1'
_symmetry_Int_Tables_number 1
_symmetry_space_group_name_Hall 'P 1'
_cell_length_a 3.7833
_cell_length_b 6.6740
_cell_length_c 13.0387
_cell_angle_alpha 90.00
_cell_angle_beta 90.00
_cell_angle_gamma 106.47
loop_
_atom_site_label
_atom_site_type_symbol
_atom_site_fract_x
_atom_site_fract_y
_atom_site_fract_z
Dy1 Dy 0.6265 0.2531 0.7500
S1 S 0.0294 0.0588 0.2500
Dy2 Dy 0.3735 0.7469 0.2500
S2 S 0.7756 0.5512 0.3783
Er1 Er 0.1297 0.2594 0.4305
S3 S 0.2244 0.4488 0.8783
Er2 Er 0.8703 0.7406 0.5695
S4 S 0.5000 0.0000 0.0000
S5 S 0.5000 0.0000 0.5000
Er3 Er 0.8703 0.7406 0.9305
S6 S 0.2244 0.4488 0.6217
S7 S 0.7756 0.5512 0.1217
S8 S 0.9706 0.9412 0.7500
Er4 Er 0.1297 0.2594 0.0695
```

## Properties
- ΔE to the lowest computed polymorph (eV/atom) = 0.0000
- E (eV per atom) = -6.367
- symmetry = Cmcm (63)
- crystal system = orthorhombic
- D(E_F) (states/eV/cell) = 4.131
- size of the total moment (μB/cell) = 0.00
- mass density (kg/m³) = 6577
- raw formation energy (kJ/mol of atoms) = -197.58

---

[6]
An optimized crystal structure of Ni2HgMo. Source: Alexandria, functional GGA-PBE.

CIF file:
```
data_Ni2HgMo
_chemical_formula_sum 'Ni2 Hg1 Mo1'
_symmetry_space_group_name_H-M 'P 1'
_symmetry_Int_Tables_number 1
_symmetry_space_group_name_Hall 'P 1'
_cell_length_a 4.3625
_cell_length_b 4.3625
_cell_length_c 4.3625
_cell_angle_alpha 60.00
_cell_angle_beta 60.00
_cell_angle_gamma 60.00
loop_
_atom_site_label
_atom_site_type_symbol
_atom_site_fract_x
_atom_site_fract_y
_atom_site_fract_z
Ni1 Ni 0.0000 0.0000 0.0000
Mo1 Mo 0.2500 0.2500 0.2500
Ni2 Ni 0.7500 0.7500 0.7500
Hg1 Hg 0.5000 0.5000 0.5000
```

## Properties
- E (eV per atom) = -5.191
- formation energy (eV per atom) = 0.483
- symmetry = F-43m (216)
- crystal system = cubic
- D(E_F) (states/eV/cell) = 1.992
- size of the total moment (μB/cell) = 0.00
- mass density (kg/m³) = 11707

---

[7]
An optimized crystal structure of Ho3MgNi. Source: Alexandria, functional GGA-PBE.

CIF file:
```
data_Ho3MgNi
_chemical_formula_sum 'Ho3 Mg1 Ni1'
_symmetry_space_group_name_H-M 'P 1'
_symmetry_Int_Tables_number 1
_symmetry_space_group_name_Hall 'P 1'
_cell_length_a 5.2300
_cell_length_b 5.2300
_cell_length_c 5.2300
_cell_angle_alpha 90.00
_cell_angle_beta 90.00
_cell_angle_gamma 90.00
loop_
_atom_site_label
_atom_site_type_symbol
_atom_site_fract_x
_atom_site_fract_y
_atom_site_fract_z
Ni1 Ni 0.0000 0.0000 0.0000
Ho1 Ho 0.0000 0.0000 0.5000
Mg1 Mg 0.5000 0.5000 0.5000
Ho2 Ho 0.5000 0.0000 0.0000
Ho3 Ho 0.0000 0.5000 0.0000
```

## Properties
- ΔE to the lowest computed polymorph (eV/atom) = 0.1141
- E (eV per atom) = -4.276
- formation energy (eV per atom) = -0.054
- symmetry = Pm-3m (221)
- crystal system = cubic
- D(E_F) (states/eV/cell) = 8.933
- size of the total moment (μB/cell) = 0.67
- mass density (kg/m³) = 6707

---

[8]
An optimized crystal structure of PrDy8Er2. Source: Alexandria, functional GGA-PBE.

CIF file:
```
data_PrDy8Er2
_chemical_formula_sum 'Pr1 Dy8 Er2'
_symmetry_space_group_name_H-M 'P 1'
_symmetry_Int_Tables_number 1
_symmetry_space_group_name_Hall 'P 1'
_cell_length_a 5.4947
_cell_length_b 8.1314
_cell_length_c 9.3409
_cell_angle_alpha 115.80
_cell_angle_beta 107.10
_cell_angle_gamma 90.00
loop_
_atom_site_label
_atom_site_type_symbol
_atom_site_fract_x
_atom_site_fract_y
_atom_site_fract_z
Dy1 Dy 0.3601 0.1541 0.7201
Dy2 Dy 0.0000 0.7039 0.0000
Pr1 Pr 0.5000 0.0000 0.0000
Er1 Er 0.1994 0.6994 0.3987
Dy3 Dy 0.6399 0.8459 0.2799
Dy4 Dy 0.6399 0.4340 0.2798
Er2 Er 0.8006 0.3006 0.6013
Dy5 Dy 0.3601 0.5660 0.7202
Dy6 Dy 0.1639 0.1640 0.3279
Dy7 Dy 0.0000 0.2961 0.0000
Dy8 Dy 0.8361 0.8360 0.6721
```

## Properties
- ΔE to the lowest computed polymorph (eV/atom) = 0.0000
- E (eV per atom) = -4.495
- formation energy (eV per atom) = 0.116
- symmetry = Immm (71)
- crystal system = orthorhombic
- D(E_F) (states/eV/cell) = 15.556
- size of the total moment (μB/cell) = 0.00
- mass density (kg/m³) = 8302

---

[9]
An optimized crystal structure of Hf5Zn4Pd. Source: Alexandria, functional GGA-PBE.

CIF file:
```
data_Hf5Zn4Pd
_chemical_formula_sum 'Hf5 Zn4 Pd1'
_symmetry_space_group_name_H-M 'P 1'
_symmetry_Int_Tables_number 1
_symmetry_space_group_name_Hall 'P 1'
_cell_length_a 3.3159
_cell_length_b 3.3159
_cell_length_c 16.4489
_cell_angle_alpha 90.00
_cell_angle_beta 90.00
_cell_angle_gamma 90.00
loop_
_atom_site_label
_atom_site_type_symbol
_atom_site_fract_x
_atom_site_fract_y
_atom_site_fract_z
Pd1 Pd 0.0000 0.0000 0.0000
Zn1 Zn 0.0000 0.0000 0.2013
Zn2 Zn 0.0000 0.0000 0.4000
Hf1 Hf 0.5000 0.5000 0.3003
Hf2 Hf 0.5000 0.5000 0.5000
Hf3 Hf 0.5000 0.5000 0.1003
Zn3 Zn 0.0000 0.0000 0.7987
Hf4 Hf 0.5000 0.5000 0.6997
Zn4 Zn 0.0000 0.0000 0.6000
Hf5 Hf 0.5000 0.5000 0.8997
```

## Properties
- E (eV per atom) = -6.279
- formation energy (eV per atom) = -0.273
- symmetry = P4/mmm (123)
- crystal system = tetragonal
- D(E_F) (states/eV/cell) = 5.751
- size of the total moment (μB/cell) = 0.00
- mass density (kg/m³) = 11573